RbCu2F6 | PBE | relaxed

The calculation puts the formation energy without anion corrections at -1825.2 meV/atom. The total energy comes out at -36.8 eV/f.u. As for the calculated density: 3.99 g/cm³. The calculated volume is 15.10 A^3/atom. The energy above the most stable polymorph in this dataset comes out at 0.000 kcal/mol of atoms.

a = 10.2823 Å, b = 10.2823 Å, c = 10.2823 Å
α = 90.00°, β = 90.00°, γ = 90.00°
Space group Fd-3m (No. 227, origin choice 2)
Symmetry-distinct sites (fractional):
1 Rb 0.1250 0.1250 0.1250 [8 per cell]
2 Cu 0.0000 0.0000 0.5000 [16 per cell]
3 F 0.0686 0.3750 0.8750 [48 per cell]